20
Lattice="-0.1712 1.9498 -2.8562 4.1870 -7.4526 -5.3384 -9.1538 -3.7179 -1.9892" Properties=species:S:1:pos:R:3 comment="Y2UGa2Ru5, optimized geometry, DFT GGA-PBE" formation_energy_ev_per_atom=-0.466 magnetic_moment_mub_per_fu=0.00 pbc="T T T"
Y 1.2562 -5.6094 -3.9044
Y -6.2230 -5.5611 -3.4231
Y -2.3280 -2.4885 -1.5592
Y -2.6388 -8.6820 -5.7684
U 0.0000 0.0000 0.0000
U -2.4834 -5.5852 -3.6638
Ga -5.2116 -3.2865 -1.9310
Ga 0.2449 -7.8840 -5.3966
Ga -5.3554 -7.9215 -5.0864
Ga 0.3886 -3.2490 -2.2412
Ru 0.1195 -0.7519 -2.6192
Ru -5.2575 -8.4688 -7.5646
Ru -7.1443 -2.5149 -3.3872
Ru -1.1181 -5.8312 -6.0122
Ru 2.0063 -6.7058 -6.7966
Ru -4.0199 -3.3896 -4.1716
Ru -4.0943 -5.8527 -5.8486
Ru -1.0437 -3.3680 -4.3353
Ru 2.0079 -2.7514 -4.0973
Ru -4.6625 -0.8841 -2.4227